Entry one
A relaxed structure of TbPm2Bi, computed with PBE-GGA.

Calculated values
size of the total moment = 0.00 Bohr magnetons per cell
calculated density = 8.62 g/cm3
density of states at the Fermi level = 4.5 states/eV/cell

a = 4.2960 Å, b = 4.2960 Å, c = 6.8704 Å
α = 90.00°, β = 90.00°, γ = 90.00°
Space group P4/mmm (No. 123)
Inequivalent atoms, fractional coordinates:
Tb: 0.0000 0.0000 0.0000 (multiplicity 1)
Pm: 0.5000 0.5000 0.2637 (multiplicity 2)
Bi: 0.0000 0.0000 0.5000 (multiplicity 1)



Entry two
A relaxed structure of TbPm2Bi, computed with PBE-GGA.

Calculated values
size of the total moment = 0.00 Bohr magnetons per cell
calculated density = 9.06 g/cm3
density of states at the Fermi level = 4.1 states/eV/cell

a = 4.9260 Å, b = 4.9260 Å, c = 4.9710 Å
α = 90.00°, β = 90.00°, γ = 90.00°
Space group P4/mmm (No. 123)
Inequivalent atoms, fractional coordinates:
Tb: 0.0000 0.0000 0.0000 (multiplicity 1)
Pm: 0.0000 0.5000 0.5000 (multiplicity 2)
Bi: 0.5000 0.5000 0.0000 (multiplicity 1)



Entry three
A relaxed structure of TbPm2Bi, computed with PBE-GGA.

Calculated values
size of the total moment = 0.00 Bohr magnetons per cell
calculated density = 8.58 g/cm3
density of states at the Fermi level = 16.7 states/eV/cell

a = 4.6682 Å, b = 23.4125 Å, c = 4.6617 Å
α = 90.00°, β = 90.00°, γ = 90.00°
Space group Cmcm (No. 63)
Inequivalent atoms, fractional coordinates:
Tb: 0.0000 0.1926 0.2500 (multiplicity 4)
Pm: 0.0000 0.0652 0.7500 (multiplicity 4)
Pm: 0.0000 0.4394 0.7500 (multiplicity 4)
Bi: 0.0000 0.3279 0.2500 (multiplicity 4)



Stability summary - winner: entry three; margin: 1.4 kJ/mol of atoms.



Entry one
A relaxed structure of TbPm2Bi, computed with PBE-GGA.

Calculated values
size of the total moment = 2.57 Bohr magnetons per cell
calculated density = 7.17 g/cm3
density of states at the Fermi level = 22.3 states/eV/cell

a = 4.0392 Å, b = 4.0392 Å, c = 32.3408 Å
α = 90.00°, β = 90.00°, γ = 120.00°
Space group R-3m (No. 166, hexagonal axes)
Inequivalent atoms, fractional coordinates:
Tb: 0.0000 0.0000 0.0000 (multiplicity 3)
Pm: 0.0000 0.0000 0.1026 (multiplicity 6)
Bi: 0.0000 0.0000 0.5000 (multiplicity 3)



Entry two
A relaxed structure of TbPm2Bi, computed with PBE-GGA.

Calculated values
size of the total moment = 2.54 Bohr magnetons per cell
calculated density = 7.67 g/cm3
density of states at the Fermi level = 14.3 states/eV/cell

a = 4.1259 Å, b = 4.1259 Å, c = 28.9876 Å
α = 90.00°, β = 90.00°, γ = 120.00°
Space group R3m (No. 160, hexagonal axes)
Inequivalent atoms, fractional coordinates:
Tb: 0.0000 0.0000 0.0000 (multiplicity 3)
Pm: 0.0000 0.0000 0.5709 (multiplicity 3)
Pm: 0.0000 0.0000 0.7625 (multiplicity 3)
Bi: 0.0000 0.0000 0.1665 (multiplicity 3)



Stability summary - winner: entry two; margin: 28.3 kJ/mol of atoms.